YSb2IN after structural relaxation. Source: Alexandria via LeMat-Bulk, functional PBE-GGA.

Cell lengths 5.9173, 5.9173, 5.9318 Å; angles 90.00, 90.00, 90.00 degrees
Last column: nearest neighbours and their distance in Å.
Fractional coordinates of all 5 atoms:
I 0.0000 0.0000 0.5000  2 Y 2.97
Sb 0.5000 0.0000 0.0000  2 Y 2.96
Y 0.0000 0.0000 0.0000  4 Sb 2.96, 2 I 2.97
N 0.5000 0.5000 0.5000  4 I 4.18, 8 Sb 4.19
Sb 0.0000 0.5000 0.0000  2 Y 2.96

Its space group is P4/mmm (123). The value obtained for the formation energy from raw total energies is 27.4 kcal/mol of atoms. The calculation puts the energy above the most stable polymorph in this dataset at 972.5 meV per atom. Its density of states at the Fermi level is 5.97 states/eV/cell.

---

In4Cu2Ag after structural relaxation. Source: Alexandria via LeMat-Bulk, functional PBE-GGA.

Cell lengths 5.3101, 5.3101, 7.4971 Å; angles 69.26, 69.26, 90.00 degrees
Last column: nearest neighbours and their distance in Å.
Fractional coordinates of all 7 atoms:
Cu 0.4082 0.4082 0.1836  1 Cu 2.38, 1 In 2.55
Cu 0.5918 0.5918 0.8164  1 Cu 2.38, 1 In 2.55
In 0.0000 0.5000 0.0000  2 Ag 2.66, 4 Cu 2.91
In 0.2117 0.2117 0.5767  1 Cu 2.55, 1 Ag 2.75
Ag 0.0000 0.0000 0.0000  6 In 2.66-2.75
In 0.7883 0.7883 0.4233  1 Cu 2.55, 1 Ag 2.75
In 0.5000 0.0000 0.0000  2 Ag 2.66, 4 Cu 2.91

Its space group is I4/mmm (139). The value obtained for the energy of formation from the pure elements is 0.3246 eV per atom. Its density of states at the Fermi level is 2.65 states/eV/cell.

---

Ce3Cu2Ir7 after structural relaxation. Source: Alexandria via LeMat-Bulk, functional PBE-GGA.

Cell lengths 5.3722, 5.3722, 9.0237 Å; angles 72.68, 72.68, 60.00 degrees
Last column: nearest neighbours and their distance in Å.
Fractional coordinates of all 12 atoms:
Cu 0.6656 0.6656 0.0033  6 Ir 2.59-2.61
Ir 0.5000 0.5000 0.5000  6 Ir 2.66
Ce 0.0000 0.0000 0.0000  6 Cu 3.10, 12 Ir 3.40
Ir 0.4151 0.4151 0.2465  2 Cu 2.59-2.61, 5 Ir 2.64-2.73
Ir 0.5849 0.0767 0.7535  2 Cu 2.59-2.61, 5 Ir 2.64-2.73
Ce 0.8606 0.8606 0.4182  12 Ir 3.06-3.22, 3 Ce 3.40
Ir 0.0767 0.5849 0.7535  2 Cu 2.59-2.61, 5 Ir 2.64-2.73
Ce 0.1394 0.1394 0.5818  12 Ir 3.06-3.22, 3 Ce 3.40
Ir 0.5849 0.5849 0.7535  2 Cu 2.59-2.61, 5 Ir 2.64-2.73
Ir 0.4151 0.9233 0.2465  2 Cu 2.59-2.61, 5 Ir 2.64-2.73
Ir 0.9233 0.4151 0.2465  2 Cu 2.59-2.61, 5 Ir 2.64-2.73
Cu 0.3344 0.3344 0.9967  6 Ir 2.59-2.61

Its space group is R-3m (166). The value obtained for the energy of formation from the pure elements is -0.5706 eV per atom. Its density of states at the Fermi level is 15.19 states/eV/cell.

---

Y2OsAu after structural relaxation. Source: Alexandria via LeMat-Bulk, functional PBE-GGA.

Cell lengths 3.4359, 3.4359, 7.3652 Å; angles 90.00, 90.00, 89.99 degrees
Last column: nearest neighbours and their distance in Å.
Fractional coordinates of all 4 atoms:
Os 0.5000 0.5000 0.7500  8 Y 2.95-2.96
Y 0.0000 0.0000 0.9784  4 Os 2.95-2.96, 4 Au 3.15
Y 0.0000 0.0000 0.5216  4 Os 2.95-2.96, 4 Au 3.15
Au 0.5000 0.5000 0.2500  8 Y 3.15, 4 Au 3.44

Its space group is P4/mmm (123). The value obtained for the energy of formation from the pure elements is -0.5246 eV per atom. Its density of states at the Fermi level is 2.21 states/eV/cell.

---

Al2Co2Ru after structural relaxation. Source: Alexandria via LeMat-Bulk, functional PBE-GGA.

Cell lengths 3.2047, 3.2047, 6.9821 Å; angles 76.73, 76.73, 90.00 degrees
Last column: nearest neighbours and their distance in Å.
Fractional coordinates of all 5 atoms:
Ru 0.0000 0.0000 0.0000  8 Al 2.63
Al 0.3989 0.3989 0.2021  4 Co 2.54, 4 Ru 2.63, 1 Al 2.67
Co 0.7500 0.2500 0.5000  4 Co 2.27, 4 Al 2.54
Al 0.6011 0.6011 0.7979  4 Co 2.54, 4 Ru 2.63, 1 Al 2.67
Co 0.2500 0.7500 0.5000  4 Co 2.27, 4 Al 2.54

Its space group is I4/mmm (139). The value obtained for the energy of formation from the pure elements is -0.0985 eV per atom. The calculation puts the energy above the most stable polymorph in this dataset at 138.8 meV per atom. Its density of states at the Fermi level is 3.64 states/eV/cell.

---

Nd2PuBiO8 after structural relaxation. Source: Alexandria via LeMat-Bulk, functional PBE-GGA.

Cell lengths 5.2543, 5.2565, 7.2016 Å; angles 90.00, 90.00, 91.26 degrees
Last column: nearest neighbours and their distance in Å.
Fractional coordinates of all 12 atoms:
Nd 0.5000 0.5000 0.7459  6 O 2.27-2.48
Pu 0.0000 0.0000 0.0000  6 O 1.99-2.06
Nd 0.5000 0.5000 0.2541  6 O 2.27-2.48
O 0.1810 0.8194 0.7852  1 Pu 2.06
Bi 0.0000 0.0000 0.5000  6 O 2.26-2.46
O 0.2712 0.2714 0.0000  1 Pu 1.99
O 0.1810 0.8194 0.2148  1 Pu 2.06
O 0.8190 0.1806 0.2148  1 Pu 2.06
O 0.8190 0.1806 0.7852  1 Pu 2.06
O 0.6925 0.6919 0.5000  1 Bi 2.26, 2 Nd 2.27
O 0.3075 0.3081 0.5000  1 Bi 2.26, 2 Nd 2.27
O 0.7288 0.7286 0.0000  1 Pu 1.99

Its space group is Cmmm (65). The value obtained for the formation energy from raw total energies is -58.1 kcal/mol of atoms.

---

Dy2Ge4Ir5 after structural relaxation. Source: Alexandria via LeMat-Bulk, functional PBE-GGA.

Cell lengths 5.6303, 5.5512, 8.0133 Å; angles 79.74, 69.43, 59.53 degrees
Last column: nearest neighbours and their distance in Å.
Fractional coordinates of all 11 atoms:
Ir 0.5000 0.5000 0.0000  4 Ge 2.57, 4 Ir 2.78-2.82
Ir 0.0000 0.5000 0.0000  4 Ge 2.57, 4 Ir 2.78-2.82
Ir 0.7500 0.5000 0.5000  4 Ge 2.44
Dy 0.1196 0.0000 0.7608  6 Ge 3.20-3.29, 10 Ir 3.31-3.40
Dy 0.8804 0.0000 0.2392  6 Ge 3.20-3.29, 10 Ir 3.31-3.40
Ge 0.2122 0.3139 0.2617  5 Ir 2.44-2.57
Ge 0.4739 0.3139 0.7383  5 Ir 2.44-2.57
Ge 0.7878 0.6861 0.7383  5 Ir 2.44-2.57
Ir 0.2500 0.5000 0.5000  4 Ge 2.44
Ge 0.5261 0.6861 0.2617  5 Ir 2.44-2.57
Ir 0.5000 0.0000 0.0000  4 Ge 2.47

Its space group is Fmmm (69). The value obtained for the energy of formation from the pure elements is -0.6065 eV per atom. Its density of states at the Fermi level is 5.16 states/eV/cell.

---

LiLa2AgS4 after structural relaxation. Source: Alexandria via LeMat-Bulk, functional PBE-GGA.

Cell lengths 4.2051, 6.5546, 7.3110 Å; angles 67.62, 90.00, 90.00 degrees
Last column: nearest neighbours and their distance in Å.
Fractional coordinates of all 8 atoms:
Ag 0.5000 0.5000 0.0000  6 S 2.84-2.90
S 0.5000 0.2543 0.7427  2 Li 2.83, 3 La 2.86-2.89, 1 Ag 2.90
Li 0.0000 0.5000 0.5000  6 S 2.83-2.85
S 0.5000 0.7457 0.2573  2 Li 2.83, 3 La 2.86-2.89, 1 Ag 2.90
S 0.0000 0.2558 0.2495  2 Ag 2.84, 1 Li 2.85, 3 La 2.87-2.91
S 0.0000 0.7442 0.7505  2 Ag 2.84, 1 Li 2.85, 3 La 2.87-2.91
La 0.5000 0.0000 0.5000  6 S 2.86-2.87
La 0.0000 0.0000 0.0000  6 S 2.89-2.91

Its space group is P2/m (10). The value obtained for the formation energy from raw total energies is -36.4 kcal/mol of atoms. Its density of states at the Fermi level is 0.00 states/eV/cell.

---

LiGaSi after structural relaxation. Source: Alexandria via LeMat-Bulk, functional PBE-GGA.

Cell lengths 15.9461, 5.6293, 5.6293 Å; angles 136.10, 152.38, 27.62 degrees
Last column: nearest neighbours and their distance in Å.
Fractional coordinates of all 6 atoms:
Li 0.8095 0.6109 0.3891  5 Si 2.74-2.92, 1 Ga 2.93
Si 0.6104 0.2376 0.7624  1 Si 2.36, 3 Ga 2.52-2.56
Li 0.1905 0.3891 0.6109  5 Si 2.74-2.92, 1 Ga 2.93
Ga 0.7551 0.4107 0.5893  3 Si 2.52-2.56, 1 Ga 2.57
Ga 0.2449 0.5893 0.4107  3 Si 2.52-2.56, 1 Ga 2.57
Si 0.3896 0.7624 0.2376  1 Si 2.36, 3 Ga 2.52-2.56

Its space group is C2/m (12). The value obtained for the formation energy from raw total energies is -3.5 kcal/mol of atoms. Its density of states at the Fermi level is 1.52 states/eV/cell.

---

AlIr2Cl after structural relaxation. Source: Alexandria via LeMat-Bulk, functional PBE-GGA.

Cell lengths 2.8883, 2.8883, 9.8363 Å; angles 90.00, 90.00, 119.95 degrees
Last column: nearest neighbours and their distance in Å.
Fractional coordinates of all 4 atoms:
Al 0.0000 0.0000 0.4866  2 Cl 2.31, 2 Ir 2.44
Ir 0.0000 0.0000 0.0568  8 Ir 2.69-2.89
Ir 0.5000 0.5000 0.2870  2 Al 2.44, 2 Ir 2.69
Cl 0.5000 0.5000 0.6697  2 Al 2.31

Its space group is Cmm2 (35). The value obtained for the formation energy from raw total energies is 4.6 kcal/mol of atoms. The calculation puts the energy above the most stable polymorph in this dataset at 251.8 meV per atom. Its density of states at the Fermi level is 4.00 states/eV/cell.

---

NdHoAu after structural relaxation. Source: Alexandria via LeMat-Bulk, functional PBE-GGA.

Cell lengths 3.6418, 3.6418, 6.7972 Å; angles 105.54, 105.54, 90.00 degrees
Last column: nearest neighbours and their distance in Å.
Fractional coordinates of all 3 atoms:
Ho 0.3044 0.3044 0.6089  4 Au 3.02
Au 0.6792 0.6792 0.3583  4 Ho 3.02, 4 Nd 3.29
Nd 0.0164 0.0164 0.0328  4 Au 3.29, 1 Ho 3.62, 4 Nd 3.64

Its space group is I4mm (107). The value obtained for the energy of formation from the pure elements is -0.5178 eV per atom. The calculation puts the energy above the most stable polymorph in this dataset at 84.4 meV per atom. Its density of states at the Fermi level is 3.90 states/eV/cell.

---

KSn2Pt after structural relaxation. Source: Alexandria via LeMat-Bulk, functional PBE-GGA.

Cell lengths 4.4351, 4.4351, 7.5307 Å; angles 72.87, 72.87, 60.00 degrees
Last column: nearest neighbours and their distance in Å.
Fractional coordinates of all 4 atoms:
K 0.4983 0.4983 0.5050  6 Sn 3.58-3.61, 1 Pt 3.64
Sn 0.0472 0.0472 0.8584  3 Pt 2.73
Pt 0.6697 0.6697 0.9908  6 Sn 2.73-2.79
Sn 0.2847 0.2847 0.1458  3 Pt 2.79

Its space group is R3m (160). The value obtained for the energy of formation from the pure elements is -0.4415 eV per atom. Its density of states at the Fermi level is 1.23 states/eV/cell.

---

no.,calculated volume (Å³/atom)
1,41.5
2,26.1
3,17.6
4,21.7
5,13.6
6,16.6
7,18.4
8,23.3
9,17.3
10,17.8
11,27.8
12,30.2